No. 1
PBE Li3AcPt3, optimized geometry; volume = 19.817 Å³/atom; calculated density = 9.97 Mg/m³; ΔE_f = -0.229 eV/atom; SG = Pm-3n, No. 223; total energy = -59.1 eV per cell
1.0
6.522 0.000 0.000
0.000 6.522 0.000
0.000 0.000 6.522
Li Ac Pt
6 2 6
Direct
0.000 0.250 0.500
0.000 0.750 0.500
0.250 0.500 0.000
0.500 0.000 0.250
0.500 0.000 0.750
0.750 0.500 0.000
0.000 0.000 0.000
0.500 0.500 0.500
0.000 0.500 0.250
0.000 0.500 0.750
0.250 0.000 0.500
0.500 0.250 0.000
0.500 0.750 0.000
0.750 0.000 0.500

***

No. 2
PBE LiAcPt, optimized geometry; ΔE to the lowest computed polymorph = 134 meV per atom; volume = 27.978 Å³/atom; calculated density = 8.49 Mg/m³; ΔE_f = -0.657 eV/atom; SG = R-3m, No. 166; total energy = -28.1 eV per cell
1.0
2.568 1.483 7.348
-2.568 1.483 7.348
0.000 -2.965 7.348
Li Ac Pt
2 2 2
Direct
0.138 0.138 0.138
0.862 0.862 0.862
0.392 0.392 0.392
0.608 0.608 0.608
0.253 0.253 0.253
0.747 0.747 0.747

***

No. 3
PBE Li2Ac3Pt3, optimized geometry; ΔE to the lowest computed polymorph = 0 meV per atom; volume = 25.183 Å³/atom; calculated density = 10.55 Mg/m³; ΔE_f = -0.868 eV/atom; SG = Cmcm, No. 63; total energy = -82.4 eV per cell
1.0
2.101 -6.422 0.000
2.101 6.422 0.000
0.000 0.000 14.933
Li Ac Pt
4 6 6
Direct
0.227 0.773 0.569
0.227 0.773 0.931
0.773 0.227 0.069
0.773 0.227 0.431
0.070 0.930 0.111
0.070 0.930 0.389
0.343 0.657 0.250
0.657 0.343 0.750
0.930 0.070 0.611
0.930 0.070 0.889
0.336 0.664 0.750
0.397 0.603 0.048
0.397 0.603 0.452
0.603 0.397 0.548
0.603 0.397 0.952
0.664 0.336 0.250